P | Computed, not measured: a relaxed structure of BeAs2Cl at the PBE level of DFT.

Fermi-level density of states: 0.276 states/eV per atom
calculated density: 4.39 g cm⁻³

abc: 6.891 6.891 6.891
angles: 30.23 30.23 30.23
Atoms (fractional coordinates):
Be (0.000, 0.000, 0.000)
As (0.277, 0.277, 0.277)
As (0.723, 0.723, 0.723)
Cl (0.500, 0.500, 0.500)

---

Q | Computed, not measured: a relaxed structure of BeAs2Cl at the PBE level of DFT.

Fermi-level density of states: 0.342 states/eV per atom
calculated density: 4.13 g cm⁻³

abc: 2.968 2.968 8.856
angles: 90.00 90.00 90.00
Atoms (fractional coordinates):
Be (0.000, 0.000, 0.000)
As (0.000, 0.000, 0.582)
As (0.500, 0.500, 0.799)
Cl (0.500, 0.500, 0.143)

---

R | Computed, not measured: a relaxed structure of BeAs2Cl at the PBE level of DFT.

Fermi-level density of states: 0.332 states/eV per atom
calculated density: 4.65 g cm⁻³

abc: 4.863 4.863 2.935
angles: 90.00 90.00 90.00
Atoms (fractional coordinates):
Be (0.000, 0.000, 0.000)
As (0.000, 0.500, 0.500)
As (0.500, 0.000, 0.500)
Cl (0.500, 0.500, 0.000)

---

S | Computed, not measured: a relaxed structure of BeAs2Cl at the PBE level of DFT.

Fermi-level density of states: 1.101 states/eV per atom
calculated density: 3.60 g cm⁻³

abc: 7.579 7.579 7.579
angles: 139.86 139.86 58.06
Atoms (fractional coordinates):
Be (0.000, 0.000, 0.000)
Be (0.750, 0.250, 0.500)
As (0.375, 0.247, 0.372)
As (0.753, 0.125, 0.128)
As (0.875, 0.003, 0.628)
As (0.997, 0.625, 0.872)
Cl (0.250, 0.750, 0.500)
Cl (0.500, 0.500, 0.000)

---

Least stable: R

---

P | Computed, not measured: a relaxed structure of BeAs2Cl at the PBE level of DFT.

Fermi-level density of states: 0.272 states/eV per atom
calculated density: 3.26 g cm⁻³

abc: 7.594 7.594 7.594
angles: 158.20 142.38 43.90
Atoms (fractional coordinates):
Be (0.000, 0.000, 0.000)
As (0.418, 0.418, 0.000)
As (0.852, 0.352, 0.500)
Cl (0.100, 0.600, 0.500)

---

Q | Computed, not measured: a relaxed structure of BeAs2Cl at the PBE level of DFT.

Fermi-level density of states: 0.390 states/eV per atom
calculated density: 4.67 g cm⁻³

abc: 4.606 4.606 4.606
angles: 60.00 60.00 60.00
Atoms (fractional coordinates):
Be (0.000, 0.000, 0.000)
As (0.250, 0.250, 0.250)
As (0.500, 0.500, 0.500)
Cl (0.750, 0.750, 0.750)

---

Least stable: Q

---

P | Computed, not measured: a relaxed structure of BeAs2Cl at the PBE level of DFT.

Fermi-level density of states: 0.575 states/eV per atom
calculated density: 4.44 g cm⁻³

abc: 3.109 3.109 7.779
angles: 90.00 90.00 104.81
Atoms (fractional coordinates):
Be (0.000, 0.000, 0.000)
As (0.500, 0.500, 0.177)
As (0.500, 0.500, 0.823)
Cl (0.000, 0.000, 0.500)

---

Q | Computed, not measured: a relaxed structure of BeAs2Cl at the PBE level of DFT.

Fermi-level density of states: 0.345 states/eV per atom
calculated density: 4.58 g cm⁻³

abc: 3.125 4.411 5.104
angles: 90.00 90.00 90.00
Atoms (fractional coordinates):
Be (0.000, 0.000, 0.000)
As (0.000, 0.500, 0.500)
As (0.500, 0.500, 0.000)
Cl (0.500, 0.000, 0.500)

---

Least stable: Q

---

P | Computed, not measured: a relaxed structure of BeAsCl3 at the PBE level of DFT.

Fermi-level density of states: 0.644 states/eV per atom
calculated density: 2.45 g cm⁻³

abc: 5.053 5.053 5.053
angles: 90.00 90.00 90.00
Atoms (fractional coordinates):
Be (0.000, 0.000, 0.000)
As (0.500, 0.500, 0.500)
Cl (0.000, 0.500, 0.500)
Cl (0.500, 0.000, 0.500)
Cl (0.500, 0.500, 0.000)

---

Q | Computed, not measured: a relaxed structure of BeAsCl3 at the PBE level of DFT.

Fermi-level density of states: 0.465 states/eV per atom
calculated density: 3.46 g cm⁻³

abc: 4.502 4.502 4.502
angles: 90.00 90.00 90.00
Atoms (fractional coordinates):
Be (0.000, 0.000, 0.000)
As (0.500, 0.500, 0.500)
Cl (0.000, 0.000, 0.500)
Cl (0.000, 0.500, 0.000)
Cl (0.500, 0.000, 0.000)

---

Least stable: P

---

P | Computed, not measured: a relaxed structure of BeAsP2Cl at the PBE level of DFT.

Fermi-level density of states: 0.588 states/eV per atom
calculated density: 3.59 g cm⁻³

abc: 4.486 4.486 4.168
angles: 90.00 90.00 90.00
Atoms (fractional coordinates):
Be (0.000, 0.000, 0.000)
As (0.500, 0.500, 0.500)
P (0.000, 0.500, 0.000)
P (0.500, 0.000, 0.000)
Cl (0.000, 0.000, 0.500)

---

Q | Computed, not measured: a relaxed structure of BeAsP2Cl at the PBE level of DFT.

Fermi-level density of states: 0.809 states/eV per atom
calculated density: 2.75 g cm⁻³

abc: 4.756 4.756 4.844
angles: 90.00 90.00 90.00
Atoms (fractional coordinates):
Be (0.000, 0.000, 0.000)
As (0.500, 0.500, 0.500)
P (0.000, 0.500, 0.500)
P (0.500, 0.000, 0.500)
Cl (0.500, 0.500, 0.000)

---

Least stable: Q

---

P | Computed, not measured: a relaxed structure of BeCoAs3 at the PBE level of DFT.

Fermi-level density of states: 1.394 states/eV per atom
calculated density: 5.12 g cm⁻³

abc: 4.562 4.562 4.562
angles: 90.00 90.00 90.00
Atoms (fractional coordinates):
Be (0.000, 0.000, 0.000)
Co (0.500, 0.500, 0.500)
As (0.000, 0.500, 0.500)
As (0.500, 0.000, 0.500)
As (0.500, 0.500, 0.000)

---

Q | Computed, not measured: a relaxed structure of BeCoAs3 at the PBE level of DFT.

Fermi-level density of states: 0.831 states/eV per atom
calculated density: 5.67 g cm⁻³

abc: 4.410 4.410 4.410
angles: 90.00 90.00 90.00
Atoms (fractional coordinates):
Be (0.000, 0.000, 0.000)
Co (0.500, 0.500, 0.500)
As (0.000, 0.000, 0.500)
As (0.000, 0.500, 0.000)
As (0.500, 0.000, 0.000)

---

Least stable: Q